(1)
The following is a GGA-PBE calculation of a relaxed structure of KTb4PrS8, from the Alexandria database.

a b c (Å): 8.2520 8.2520 20.6437
angles (deg): 90.00 90.00 120.00
Space group R3m (No. 160, hexagonal axes)
Inequivalent atoms, fractional coordinates:
K1 0.0000 0.0000 0.0000 [3 per cell]
Tb1 0.0000 0.0000 0.2540 [3 per cell]
Tb2 0.1724 0.3448 0.4602 [9 per cell]
Pr1 0.0000 0.0000 0.6325 [3 per cell]
S1 0.0000 0.0000 0.3856 [3 per cell]
S2 0.0000 0.0000 0.8608 [3 per cell]
S3 0.0384 0.5192 0.3871 [9 per cell]
S4 0.1740 0.3480 0.2072 [9 per cell]

D(E_F)   0.000 states/eV per atom
Total magnetization   0.0 μB/cell
Crystal system   trigonal
DFT total energy   -6.0249 eV/atom
Energy relative to the elements, uncorrected   -1924 meV per atom

---

(2)
The following is a GGA-PBE calculation of a relaxed structure of K3TbPr2S6, from the Alexandria database.

a b c (Å): 7.236 12.533 7.781
angles (deg): 90.00 108.08 90.00
Space group C2/m (No. 12)
Inequivalent atoms, fractional coordinates:
K1 0.000 0.000 0.000 [2 per cell]
K2 0.000 0.333 0.000 [4 per cell]
Tb1 0.000 0.500 0.500 [2 per cell]
Pr1 0.000 0.167 0.500 [4 per cell]
S1 0.231 0.338 0.706 [8 per cell]
S2 0.244 0.000 0.706 [4 per cell]

D(E_F)   0.000 states/eV per atom
Total magnetization   0.0 μB/cell
Crystal system   monoclinic
DFT total energy   -5.3746 eV/atom
Energy relative to the elements, uncorrected   -1854 meV per atom

---

(3)
The following is a GGA-PBE calculation of a relaxed structure of KPrTeS, from the Alexandria database.

a b c (Å): 4.4184 4.4184 23.6584
angles (deg): 90.00 90.00 120.00
Space group R3m (No. 160, hexagonal axes)
Inequivalent atoms, fractional coordinates:
K1 0.0000 0.0000 0.0000 [3 per cell]
Pr1 0.0000 0.0000 0.4847 [3 per cell]
Te1 0.0000 0.0000 0.2329 [3 per cell]
S1 0.0000 0.0000 0.7584 [3 per cell]

Total magnetization   0.0 μB/cell
Crystal system   trigonal
DFT total energy   -4.8906 eV/atom
Energy relative to the elements, uncorrected   -1604 meV per atom

---

(4)
The following is a GGA-PBE calculation of a relaxed structure of K2PrTeS4, from the Alexandria database.

a b c (Å): 11.911 11.864 8.467
angles (deg): 90.00 130.64 90.00
Space group C2/c (No. 15)
Inequivalent atoms, fractional coordinates:
K1 0.000 0.000 0.000 [4 per cell]
K2 0.250 0.250 0.000 [4 per cell]
Pr1 0.000 0.500 0.000 [4 per cell]
Te1 0.250 0.250 0.500 [4 per cell]
S1 0.035 0.260 0.513 [8 per cell]
S2 0.219 0.480 0.454 [8 per cell]

D(E_F)   0.191 states/eV per atom
Total magnetization   0.0 μB/cell
Crystal system   monoclinic
DFT total energy   -4.4270 eV/atom
Energy relative to the elements, uncorrected   -1099 meV per atom

---

(5)
The following is a GGA-PBE calculation of a relaxed structure of K2PrThS4, from the Alexandria database.

a b c (Å): 7.210 4.171 7.815
angles (deg): 90.00 107.83 90.00
Space group P2/m (No. 10)
Inequivalent atoms, fractional coordinates:
K1 0.000 0.000 0.000 [1 per cell]
K2 0.500 0.500 0.000 [1 per cell]
Pr1 0.000 0.500 0.500 [1 per cell]
Th1 0.500 0.000 0.500 [1 per cell]
S1 0.246 0.000 0.713 [2 per cell]
S2 0.271 0.500 0.289 [2 per cell]

D(E_F)   0.522 states/eV per atom
Total magnetization   0.0 μB/cell
Crystal system   monoclinic
DFT total energy   -5.6247 eV/atom
Energy relative to the elements, uncorrected   -1762 meV per atom

---

(6)
The following is a GGA-PBE calculation of a relaxed structure of K4Pr3ThS8, from the Alexandria database.

a b c (Å): 8.3973 8.3973 22.2428
angles (deg): 90.00 90.00 120.00
Space group R-3m (No. 166, hexagonal axes)
Inequivalent atoms, fractional coordinates:
K1 0.0000 0.0000 0.0000 [3 per cell]
K2 0.0000 0.5000 0.0000 [9 per cell]
Pr1 0.0000 0.5000 0.5000 [9 per cell]
Th1 0.0000 0.0000 0.5000 [3 per cell]
S1 0.0000 0.0000 0.2374 [6 per cell]
S2 0.0084 0.5042 0.2365 [18 per cell]

D(E_F)   0.295 states/eV per atom
Total magnetization   0.0 μB/cell
Crystal system   trigonal
DFT total energy   -5.5037 eV/atom
Energy relative to the elements, uncorrected   -1806 meV per atom

---

(7)
The following is a GGA-PBE calculation of a relaxed structure of K3PrTh2S6, from the Alexandria database.

a b c (Å): 7.179 12.432 7.847
angles (deg): 90.00 107.76 90.00
Space group C2/m (No. 12)
Inequivalent atoms, fractional coordinates:
K1 0.000 0.000 0.000 [2 per cell]
K2 0.000 0.335 0.000 [4 per cell]
Pr1 0.000 0.500 0.500 [2 per cell]
Th1 0.000 0.167 0.500 [4 per cell]
S1 0.228 0.000 0.712 [4 per cell]
S2 0.242 0.329 0.712 [8 per cell]

D(E_F)   0.601 states/eV per atom
Total magnetization   0.0 μB/cell
Crystal system   monoclinic
DFT total energy   -5.7098 eV/atom
Energy relative to the elements, uncorrected   -1737 meV per atom

---

(8)
The following is a GGA-PBE calculation of a relaxed structure of KPrTiS4, from the Alexandria database.

a b c (Å): 6.830 6.735 8.862
angles (deg): 90.00 107.39 90.00
Space group P2_1/m (No. 11)
Inequivalent atoms, fractional coordinates:
K1 0.222 0.250 0.434 [2 per cell]
Pr1 0.278 0.250 0.949 [2 per cell]
Ti1 0.272 0.750 0.179 [2 per cell]
S1 0.067 0.750 0.336 [2 per cell]
S2 0.075 0.750 0.927 [2 per cell]
S3 0.499 0.005 0.215 [4 per cell]

D(E_F)   0.000 states/eV per atom
Total magnetization   0.0 μB/cell
Crystal system   monoclinic
DFT total energy   -5.9328 eV/atom
Energy relative to the elements, uncorrected   -1607 meV per atom

---

Copy entry 6 word for word.
The following is a GGA-PBE calculation of a relaxed structure of K4Pr3ThS8, from the Alexandria database.

a b c (Å): 8.3973 8.3973 22.2428
angles (deg): 90.00 90.00 120.00
Space group R-3m (No. 166, hexagonal axes)
Inequivalent atoms, fractional coordinates:
K1 0.0000 0.0000 0.0000 [3 per cell]
K2 0.0000 0.5000 0.0000 [9 per cell]
Pr1 0.0000 0.5000 0.5000 [9 per cell]
Th1 0.0000 0.0000 0.5000 [3 per cell]
S1 0.0000 0.0000 0.2374 [6 per cell]
S2 0.0084 0.5042 0.2365 [18 per cell]

D(E_F)   0.295 states/eV per atom
Total magnetization   0.0 μB/cell
Crystal system   trigonal
DFT total energy   -5.5037 eV/atom
Energy relative to the elements, uncorrected   -1806 meV per atom

---

- What is the DFT total energy in the third record?
  -4.8906 eV/atom

---

- Look up the total magnetization of the fifth one.
  0.0 μB/cell